Below is an optimized crystal structure of NaSrCa2Ir, with properties calculated at the GGA-PBE level.

The space group is P4/mmm (No. 123) and the conventional cell measures 5.6124, 5.6124 and 5.9030 Å, with angles of 90.00, 90.00 and 90.00 degrees. The distinct sites, in fractional coordinates, are Na at (0.0000, 0.0000, 0.0000), Sr at (0.5000, 0.5000, 0.0000), Ca at (0.0000, 0.5000, 0.5000) and Ir at (0.5000, 0.5000, 0.5000).

The value obtained for the density of states at the Fermi level is 3.3 states/eV per cell. For the formation energy from the elements, the calculation gives -163 meV/atom. As for the volume: 37.2 A^3/atom. The crystal system is tetragonal.


Below is an optimized crystal structure of NaSrCa2Ir, with properties calculated at the GGA-PBE level.

The space group is P4/mmm (No. 123) and the conventional cell measures 5.5142, 5.5142 and 5.8768 Å, with angles of 90.00, 90.00 and 90.00 degrees. The distinct sites, in fractional coordinates, are Na at (0.0000, 0.0000, 0.0000), Sr at (0.5000, 0.5000, 0.0000), Ca at (0.0000, 0.5000, 0.5000) and Ir at (0.0000, 0.0000, 0.5000).

The value obtained for the density of states at the Fermi level is 3.4 states/eV per cell. For the formation energy from the elements, the calculation gives 37 meV/atom. As for the volume: 35.7 A^3/atom. The crystal system is tetragonal.